# 1
A geometry-optimized VPbIO2 structure, computed with PBE with a Hubbard U.

```
data_VPbIO2
_cell_length_a 4.233
_cell_length_b 4.233
_cell_length_c 5.346
_cell_angle_alpha 90.00
_cell_angle_beta 90.00
_cell_angle_gamma 90.00
_symmetry_space_group_name_H-M 'P 1'
_symmetry_Int_Tables_number 1
loop_
_symmetry_equiv_pos_as_xyz
'x,y,z'
loop_
_atom_site_label
_atom_site_fract_x
_atom_site_fract_y
_atom_site_fract_z
_atom_site_occupancy
V1 0.000 0.000 0.000 1
Pb1 0.500 0.500 0.500 1
I1 0.000 0.000 0.500 1
O1 0.000 0.500 0.000 1
O2 0.500 0.000 0.000 1
```

## Properties
total magnetization = 0.394 μB/atom
excess energy over the best structure of this formula in the dataset = 0.0000 eV per atom
V = 19.2 Å³ per atom

# 2
A geometry-optimized V2PbIO8 structure, computed with PBE with a Hubbard U.

```
data_V2PbIO8
_cell_length_a 5.342
_cell_length_b 5.342
_cell_length_c 7.871
_cell_angle_alpha 92.06
_cell_angle_beta 92.06
_cell_angle_gamma 66.00
_symmetry_space_group_name_H-M 'P 1'
_symmetry_Int_Tables_number 1
loop_
_symmetry_equiv_pos_as_xyz
'x,y,z'
loop_
_atom_site_label
_atom_site_fract_x
_atom_site_fract_y
_atom_site_fract_z
_atom_site_occupancy
V1 0.144 0.144 0.263 1
V2 0.856 0.856 0.737 1
Pb1 0.500 0.500 0.000 1
I1 0.500 0.500 0.500 1
O1 0.220 0.712 0.725 1
O2 0.227 0.227 0.076 1
O3 0.279 0.279 0.436 1
O4 0.288 0.780 0.275 1
O5 0.712 0.220 0.725 1
O6 0.721 0.721 0.564 1
O7 0.773 0.773 0.924 1
O8 0.780 0.288 0.275 1
```

## Properties
total magnetization = 0.000 μB/atom
final energy = -6.228 eV/atom
V = 17.1 Å³ per atom

# 3
A geometry-optimized VPbIO2 structure, computed with PBE with a Hubbard U.

```
data_VPbIO2
_cell_length_a 4.263
_cell_length_b 4.263
_cell_length_c 6.545
_cell_angle_alpha 90.00
_cell_angle_beta 90.00
_cell_angle_gamma 90.00
_symmetry_space_group_name_H-M 'P 1'
_symmetry_Int_Tables_number 1
loop_
_symmetry_equiv_pos_as_xyz
'x,y,z'
loop_
_atom_site_label
_atom_site_fract_x
_atom_site_fract_y
_atom_site_fract_z
_atom_site_occupancy
V1 0.000 0.000 0.000 1
Pb1 0.500 0.500 0.500 1
I1 0.500 0.500 0.000 1
O1 0.000 0.500 0.500 1
O2 0.500 0.000 0.500 1
```

## Properties
total magnetization = 0.725 μB/atom
excess energy over the best structure of this formula in the dataset = 0.6007 eV per atom
V = 23.8 Å³ per atom